(1)
A plane-wave DFT calculation with PBE-GGA was carried out for a relaxed V3CuSn crystal.

Lattice parameters (Å, degrees): 4.4286 4.4286 4.4286 90.00 90.00 90.00
Atoms (fractional coordinates):
V1 0.5000 0.0000 0.0000
V2 0.0000 0.5000 0.0000
V3 0.0000 0.0000 0.5000
Cu1 0.0000 0.0000 0.0000
Sn1 0.5000 0.5000 0.5000

Results
- ΔE to the lowest computed polymorph (kJ per mole of atoms) = 0.0

---

(2)
A plane-wave DFT calculation with PBE-GGA was carried out for a relaxed V2CuSn crystal.

Lattice parameters (Å, degrees): 4.2449 3.7509 3.7509 90.00 90.00 90.00
Atoms (fractional coordinates):
V1 0.0000 0.5000 0.0000
V2 0.0000 0.0000 0.5000
Sn1 0.5000 0.5000 0.5000
Cu1 0.5000 0.0000 0.0000

---

(3)
A plane-wave DFT calculation with PBE-GGA was carried out for a relaxed VCu2Sn crystal.

Lattice parameters (Å, degrees): 3.7944 3.7944 9.7346 78.76 78.76 90.00
Each line ends with the local moment (μB).
Atoms (fractional coordinates):
V1 0.2500 0.7500 0.5000  1.50
V2 0.5000 0.5000 0.0000  1.50
Cu1 0.8750 0.8599 0.7500  0.05
Cu2 0.6099 0.1250 0.2500  0.05
Cu3 0.3750 0.3901 0.7500  0.05
Cu4 0.1401 0.6250 0.2500  0.05
Sn1 0.0000 0.0000 0.0000  -0.07
Sn2 0.7500 0.2500 0.5000  -0.07

---

(4)
A plane-wave DFT calculation with PBE-GGA was carried out for a relaxed Cu2SnW crystal.

Lattice parameters (Å, degrees): 7.0228 7.0228 5.6615 51.67 51.67 90.00
Atoms (fractional coordinates):
Sn1 0.2500 0.7500 0.5000
Sn2 0.5000 0.5000 0.0000
Cu1 0.3750 0.3709 0.7500
Cu2 0.8750 0.8791 0.7500
Cu3 0.1209 0.6250 0.2500
Cu4 0.6291 0.1250 0.2500
W1 0.0000 0.0000 0.0000
W2 0.7500 0.2500 0.5000

---

(5)
A plane-wave DFT calculation with PBE-GGA was carried out for a relaxed Cu2SnW2 crystal.

Lattice parameters (Å, degrees): 3.5938 3.5938 6.9442 75.00 75.00 90.00
Atoms (fractional coordinates):
Cu1 0.7500 0.2500 0.5000
Cu2 0.2500 0.7500 0.5000
W1 0.5998 0.5998 0.8004
W2 0.4002 0.4002 0.1996
Sn1 0.0000 0.0000 0.0000

Results
- ΔE to the lowest computed polymorph (kJ per mole of atoms) = 6.5

---

(6)
A plane-wave DFT calculation with PBE-GGA was carried out for a relaxed Cu2SnW2 crystal.

Lattice parameters (Å, degrees): 7.1871 7.1871 3.2334 90.00 90.00 90.00
Atoms (fractional coordinates):
Sn1 0.0000 0.0000 0.0000
Sn2 0.5000 0.5000 0.0000
Cu1 0.8249 0.3249 0.5000
Cu2 0.3249 0.1751 0.5000
Cu3 0.1751 0.6751 0.5000
Cu4 0.6751 0.8249 0.5000
W1 0.3799 0.8799 0.0000
W2 0.8799 0.6201 0.0000
W3 0.6201 0.1201 0.0000
W4 0.1201 0.3799 0.0000

Results
- ΔE to the lowest computed polymorph (kJ per mole of atoms) = 0.0

---

(7)
A plane-wave DFT calculation with PBE-GGA was carried out for a relaxed CuSnW2 crystal.

Lattice parameters (Å, degrees): 3.7843 3.7843 10.2872 79.40 79.40 90.00
Atoms (fractional coordinates):
W1 0.3750 0.3818 0.7500
W2 0.8750 0.8682 0.7500
W3 0.1318 0.6250 0.2500
W4 0.6182 0.1250 0.2500
Cu1 0.2500 0.7500 0.5000
Cu2 0.5000 0.5000 0.0000
Sn1 0.7500 0.2500 0.5000
Sn2 0.0000 0.0000 0.0000

---

(8)
A plane-wave DFT calculation with PBE-GGA was carried out for a relaxed Cu3SnW crystal.

Lattice parameters (Å, degrees): 4.7449 4.7449 4.7449 90.00 90.00 90.00
Atoms (fractional coordinates):
Sn1 0.5000 0.5000 0.5000
Cu1 0.0000 0.0000 0.5000
Cu2 0.5000 0.0000 0.0000
Cu3 0.0000 0.5000 0.0000
W1 0.0000 0.0000 0.0000

Results
- ΔE to the lowest computed polymorph (kJ per mole of atoms) = 0.0

---

(9)
A plane-wave DFT calculation with PBE-GGA was carried out for a relaxed YCu2SnW crystal.

Lattice parameters (Å, degrees): 4.7672 5.1113 4.7672 90.00 90.00 90.00
Atoms (fractional coordinates):
Cu1 0.5000 0.0000 0.0000
Cu2 0.0000 0.0000 0.5000
Y1 0.5000 0.5000 0.5000
Sn1 0.0000 0.5000 0.0000
W1 0.0000 0.0000 0.0000

---

(10)
A plane-wave DFT calculation with PBE-GGA was carried out for a relaxed ZrCuSn2W crystal.

Lattice parameters (Å, degrees): 5.1447 4.7175 5.1447 90.00 90.00 90.00
Each line ends with the local moment (μB).
Atoms (fractional coordinates):
Zr1 0.5000 0.5000 0.5000  0.60
Sn1 0.5000 0.0000 0.0000  0.00
Sn2 0.0000 0.0000 0.5000  -0.01
Cu1 0.0000 0.5000 0.0000  -0.01
W1 0.0000 0.0000 0.0000  0.05

---

(11)
A plane-wave DFT calculation with PBE-GGA was carried out for a relaxed YCuSn crystal.

Lattice parameters (Å, degrees): 5.7983 4.7723 5.7997 114.32 96.94 65.68
Atoms (fractional coordinates):
Y1 0.0770 0.5842 0.9123
Y2 0.6623 0.0842 0.4976
Cu1 0.1260 0.2719 0.3354
Cu2 0.2392 0.7720 0.4487
Sn1 0.6941 0.3743 0.1098
Sn2 0.4649 0.8742 0.8804

---

(12)
A plane-wave DFT calculation with PBE-GGA was carried out for a relaxed YCu8Sn3 crystal.

Lattice parameters (Å, degrees): 5.1799 5.1799 8.3288 90.00 90.00 120.00
Atoms (fractional coordinates):
Cu1 0.5001 0.0002 0.7541
Cu2 0.9998 0.4999 0.7541
Cu3 0.3333 0.6667 0.0030
Cu4 0.6696 0.8348 0.2459
Cu5 0.1652 0.3304 0.2459
Cu6 0.5001 0.4999 0.7541
Cu7 0.3333 0.6667 0.4988
Cu8 0.1652 0.8348 0.2459
Sn1 0.6667 0.3333 0.0536
Sn2 0.6667 0.3333 0.4352
Sn3 0.0000 0.0000 0.9430
Y1 0.0000 0.0000 0.5663

---

| no. | energy of formation from the pure elements (kJ/mol of atoms) | V (Å³ per cell) |
| --- | --- | --- |
| 1 | 82.73 | 86.9 |
| 2 | 2.29 | 59.7 |
| 3 | 41.81 | 134.7 |
| 4 | 67.70 | 134.1 |
| 5 | 70.97 | 83.5 |
| 6 | 64.51 | 167.0 |
| 7 | 72.35 | 142.3 |
| 8 | 133.54 | 106.8 |
| 9 | 60.68 | 116.2 |
| 10 | 91.74 | 124.9 |
| 11 | -38.01 | 133.0 |
| 12 | -8.43 | 193.5 |